Density functional theory data (PBE) for a geometry-optimized LiTbInCo structure.

Geometry as POSCAR:
```
LiTbInCo
1.0
4.685 0.000 0.000
2.343 4.058 0.000
2.343 1.353 3.825
Tb Co Li In
1 1 1 1
direct
0.250 0.250 0.250 Tb
0.500 0.500 0.500 Co
0.000 0.000 0.000 Li
0.750 0.750 0.750 In
```

Results
total magnetization: 0.67 Bohr magnetons per cell
energy of formation: -0.18 eV per atom
volume: 73 Å³/cell
ρ: 7.75 g cm⁻³

---

Density functional theory data (PBE) for a geometry-optimized ErPu3Al8 structure.

Geometry as POSCAR:
```
ErPu3Al8
1.0
-5.473 0.864 -0.659
2.936 -2.497 -4.035
-1.668 -7.807 3.617
Pu Al Er
3 8 1
direct
0.667 0.333 0.404 Pu
0.000 0.000 0.934 Pu
0.667 0.333 0.091 Pu
0.506 0.012 0.749 Al
0.161 0.322 0.252 Al
0.161 0.839 0.252 Al
0.988 0.494 0.749 Al
0.333 0.667 0.999 Al
0.506 0.494 0.749 Al
0.333 0.667 0.497 Al
0.678 0.839 0.252 Al
0.000 0.000 0.572 Er
```

Results
total magnetization: 5.48 Bohr magnetons per cell
ΔE to the lowest computed polymorph: 6 meV/atom
energy of formation: -0.37 eV per atom
volume: 236 Å³/cell
ρ: 7.84 g cm⁻³

---

Density functional theory data (PBE) for a geometry-optimized Tb2CeEu structure.

Geometry as POSCAR:
```
Tb2CeEu
1.0
-3.568 3.330 1.649
-2.516 -0.528 -4.377
-2.660 -3.837 1.992
Eu Tb Ce
1 2 1
direct
0.500 0.500 0.500 Eu
0.000 0.000 0.500 Tb
0.000 0.500 0.000 Tb
0.500 0.000 0.000 Ce
```

Results
total magnetization: 8.47 Bohr magnetons per cell
ΔE to the lowest computed polymorph: 0 meV/atom
energy of formation: 0.15 eV per atom
volume: 133 Å³/cell
ρ: 7.63 g cm⁻³